Density functional theory data (PBE) for crystalline Ba2AgOsN at its relaxed geometry.

Results
- formation energy without anion corrections (meV/atom) = -254
- uncorrected energy (eV per atom) = -5.504

Cell: 5.8777 5.8777 3.8113 Å, 90.00 90.00 90.00°
Sites, in units of the cell vectors:
Ba: 0.5000 0.0000 0.0000
Ba: 0.0000 0.5000 0.0000
N: 0.0000 0.0000 0.0000
Ag: 0.5000 0.5000 0.5000
Os: 0.0000 0.0000 0.5000